A relaxed structure of Tm3ScPb3. Source: Alexandria, functional GGA-PBE.

Cell: 9.191 9.191 9.191 Å, 90.00 90.00 90.00°
Space group P2_13 (No. 198)
Asymmetric unit:
Tm1 0.069 0.431 0.569
Tm2 0.178 0.178 0.178
Tm3 0.178 0.822 0.322
Sc1 0.075 0.575 0.925
Pb1 0.001 0.257 0.873

Properties
The calculated total energy comes out at -0.358 Ry per atom. The total magnetization is 0.000 μB per cell. The energy above the most stable polymorph in this dataset is 0.0 kJ/mol of formula units. For the energy of formation from the pure elements, the calculation gives -0.463 eV/atom.

---

A relaxed structure of TmScPb. Source: Alexandria, functional GGA-PBE.

Cell: 4.243 4.685 8.093 Å, 90.00 105.15 90.00°
Space group P2_1/m (No. 11)
Asymmetric unit:
Tm1 0.080 0.250 0.160
Sc1 0.252 0.750 0.505
Pb1 0.394 0.250 0.790

Properties
The calculated total energy comes out at -0.383 Ry per atom. The total magnetization is 0.352 μB per cell. The energy above the most stable polymorph in this dataset is 15.0 kJ/mol of formula units. For the energy of formation from the pure elements, the calculation gives -0.375 eV/atom.

---

A relaxed structure of TmSc2Pb. Source: Alexandria, functional GGA-PBE.

Cell: 4.414 4.491 10.850 Å, 90.00 101.73 90.00°
Space group P2_1/m (No. 11)
Asymmetric unit:
Tm1 0.188 0.250 0.376
Sc1 0.054 0.750 0.109
Sc2 0.440 0.750 0.881
Pb1 0.337 0.250 0.674

Properties
The calculated total energy comes out at -0.406 Ry per atom. The total magnetization is 0.001 μB per cell. The energy above the most stable polymorph in this dataset is 0.0 kJ/mol of formula units. For the energy of formation from the pure elements, the calculation gives -0.314 eV/atom.

---

Results for theoretical density: 10.04 9.01 7.35 (in g/cm³, following the order of the records).